No. 1
PBE KPPd2Au, optimized geometry; space group = P4/mmm; ρ = 7.52 g/cm³; energy = -4.280 eV/atom
1.0
4.672 0.000 0.000
0.000 4.672 0.000
0.000 0.000 4.856
K P Pd Au
1 1 2 1
Cartesian
0.000 0.000 0.000
2.336 2.336 2.428
0.000 2.336 2.428
2.336 0.000 2.428
2.336 2.336 0.000

=====

No. 2
PBE KP2Pt4Au, optimized geometry; space group = P4/mmm; ρ = 10.82 g/cm³; energy = -5.276 eV/atom
1.0
4.026 0.000 0.000
0.000 4.026 0.000
0.000 0.000 10.208
K P Pt Au
1 2 4 1
Cartesian
0.000 0.000 0.000
2.013 2.013 1.980
2.013 2.013 8.228
0.000 2.013 3.129
0.000 2.013 7.079
2.013 0.000 3.129
2.013 0.000 7.079
0.000 0.000 5.104

=====

No. 3
PBE KPRuAu, optimized geometry; space group = P4/nmm; ρ = 6.46 g/cm³; energy = -5.243 eV/atom
1.0
3.984 0.000 0.000
0.000 3.984 0.000
0.000 0.000 11.911
K P Ru Au
2 2 2 2
Cartesian
0.996 0.996 2.839
2.988 2.988 9.072
0.996 0.996 7.142
2.988 2.988 4.769
0.996 2.988 5.955
2.988 0.996 5.955
0.996 2.988 0.000
2.988 0.996 0.000

=====

No. 4
PBE KP2AuS7, optimized geometry; formation energy without anion corrections = -9.068 kcal/mol of atoms; space group = C2/c; ρ = 2.77 g/cm³; energy = -4.401 eV/atom
1.0
3.874 -5.061 0.000
3.874 5.061 0.000
-0.289 0.000 15.981
K P Au S
2 4 2 14
Cartesian
3.658 2.769 11.986
3.802 -2.769 3.995
3.696 3.268 5.661
3.909 3.268 2.329
3.551 -3.268 13.652
3.764 -3.268 10.320
1.937 2.531 0.000
1.793 -2.531 7.991
1.576 1.062 14.101
1.309 0.470 10.610
1.453 -0.470 2.619
3.480 1.969 7.259
3.802 1.902 3.995
4.124 1.969 0.732
1.720 -1.062 6.111
5.740 1.062 9.870
3.336 -1.969 15.249
3.658 -1.902 11.986
3.980 -1.969 8.723
6.007 0.470 13.362
6.151 -0.470 5.372
5.884 -1.062 1.880

=====

No. 5
PBE KPAuS2, optimized geometry; relative energy among the computed polymorphs = 0.000 eV per atom; formation energy without anion corrections = 5.883 kcal/mol of atoms; space group = P4/mmm; ρ = 4.40 g/cm³; energy = -3.353 eV/atom
1.0
5.197 0.000 0.000
0.000 5.197 0.000
0.000 0.000 4.631
K P Au S
1 1 1 2
Cartesian
0.000 0.000 0.000
2.598 2.598 0.000
2.598 2.598 2.315
0.000 2.598 2.315
2.598 0.000 2.315

=====

No. 6
PBE KP2AuS, optimized geometry; relative energy among the computed polymorphs = 1.480 eV per atom; formation energy without anion corrections = 44.871 kcal/mol of atoms; space group = P4/mmm; ρ = 3.49 g/cm³; energy = -1.919 eV/atom
1.0
5.439 0.000 0.000
0.000 5.439 0.000
0.000 0.000 5.313
K P Au S
1 2 1 1
Cartesian
0.000 0.000 0.000
0.000 2.719 0.000
2.719 0.000 0.000
2.719 2.719 2.657
0.000 0.000 2.657

=====

Which of these has the lowest energy?
KP2Pt4Au

=====

Which of these has the lowest energy?
KP2Pt4Au

=====

The lowest energy belongs to which entry?
KP2Pt4Au

=====

Copy entry 6 word for word.
PBE KP2AuS, optimized geometry; relative energy among the computed polymorphs = 1.480 eV per atom; formation energy without anion corrections = 44.871 kcal/mol of atoms; space group = P4/mmm; ρ = 3.49 g/cm³; energy = -1.919 eV/atom
1.0
5.439 0.000 0.000
0.000 5.439 0.000
0.000 0.000 5.313
K P Au S
1 2 1 1
Cartesian
0.000 0.000 0.000
0.000 2.719 0.000
2.719 0.000 0.000
2.719 2.719 2.657
0.000 0.000 2.657